No. 1
{
  "formula": "WSBr2O6",
  "functional": "GGA+U",
  "state": "relaxed",
  "lattice_angstrom": [[4.7013, -0.0116, 1.0139], [-0.0196, 4.9371, 0.8049], [3.3177, 3.2552, 8.0720]],
  "species": ["O", "O", "Br", "O", "Br", "W", "O", "O", "S", "O"],
  "fractional_positions": [[0.8267, 0.7243, 0.2682], [0.5955, 0.1713, 0.0781], [0.9382, 0.2458, 0.4190], [0.4045, 0.8287, 0.9219], [0.0618, 0.7542, 0.5810], [0.0000, 0.0000, 0.0000], [0.2634, 0.3575, 0.9686], [0.1733, 0.2757, 0.7318], [0.5000, 0.5000, 0.0000], [0.7366, 0.6425, 0.0314]],
  "n_ef_per_ev_cell": 0.6,
  "total_energy_ev_per_atom": -5.106,
  "sg": "P-1, No. 2"
}


No. 2
{
  "formula": "WSBrO2",
  "functional": "GGA+U",
  "state": "relaxed",
  "lattice_angstrom": [[3.9032, 0.0000, 0.0000], [0.0000, 5.1014, 0.0000], [0.0000, 0.0000, 3.9032]],
  "species": ["W", "S", "O", "Br", "O"],
  "fractional_positions": [[0.0000, 0.0000, 0.0000], [0.0000, 0.5000, 0.0000], [0.0000, 0.0000, 0.5000], [0.5000, 0.5000, 0.5000], [0.5000, 0.0000, 0.0000]],
  "n_ef_per_ev_cell": 2.3,
  "total_energy_ev_per_atom": -5.353,
  "sg": "P4/mmm, No. 123"
}